Density functional theory data (PBE) for a relaxed structure of Na4Pm3HoS8.

Lattice parameters (Å, degrees): 8.173 8.173 8.173 59.70 59.70 59.70
Positions (direct):
Na: 0.000 0.000 0.000
Na: 0.000 0.500 0.500
Na: 0.500 0.000 0.500
Na: 0.500 0.500 0.000
Pm: 0.000 0.000 0.500
Pm: 0.000 0.500 0.000
Pm: 0.500 0.000 0.000
Ho: 0.500 0.500 0.500
S: 0.244 0.244 0.244
S: 0.250 0.740 0.740
S: 0.260 0.260 0.750
S: 0.260 0.750 0.260
S: 0.740 0.250 0.740
S: 0.740 0.740 0.250
S: 0.750 0.260 0.260
S: 0.756 0.756 0.756

Properties
Energy relative to the elements, uncorrected   -1.817 eV per atom
SG   No. 166